# 1
Below is Pa2ReSe after structural relaxation, with properties calculated at the PBE level.

Computed properties:
Energy above the most stable polymorph in this dataset (eV per formula unit): 0.06
Space-group type: P4/mmm, No. 123
DFT total energy (eV/cell): -37.19

POSCAR file:
```
Pa2ReSe
1.0
3.294 0.000 0.000
0.000 3.294 0.000
0.000 0.000 7.800
Pa Re Se
2 1 1
direct
0.000 0.000 0.238
0.000 0.000 0.762
0.500 0.500 0.000
0.500 0.500 0.500
```

=====

# 2
Below is InCo2Tc after structural relaxation, with properties calculated at the PBE level.

Computed properties:
Energy above the most stable polymorph in this dataset (eV per formula unit): 0.37
Space-group type: P4mm, No. 99
Calculated formation energy (eV per atom): 0.2389
DFT total energy (eV/cell): -26.36

POSCAR file:
```
InCo2Tc
1.0
2.873 0.000 0.000
0.000 2.873 0.000
0.000 0.000 6.867
In Co Tc
1 2 1
direct
0.000 0.000 0.000
0.000 0.000 0.529
0.500 0.500 0.731
0.500 0.500 0.309
```

=====

# 3
Below is SbTe2Cl after structural relaxation, with properties calculated at the PBE level.

Computed properties:
Energy above the most stable polymorph in this dataset (eV per formula unit): 0.86
Space-group type: R-3m, No. 166
DFT total energy (eV/cell): -12.42

POSCAR file:
```
SbTe2Cl
1.0
2.096 1.210 7.995
-2.096 1.210 7.995
0.000 -2.420 7.995
Sb Te Cl
1 2 1
direct
0.000 0.000 0.000
0.258 0.258 0.258
0.742 0.742 0.742
0.500 0.500 0.500
```

=====

# 4
Below is KAl2Rh after structural relaxation, with properties calculated at the PBE level.

Computed properties:
Energy above the most stable polymorph in this dataset (eV per formula unit): 1.77
Space-group type: R3m, No. 160
Calculated formation energy (eV per atom): 0.1060
DFT total energy (eV/cell): -15.51

POSCAR file:
```
KAl2Rh
1.0
1.522 0.879 9.774
-1.522 0.879 9.774
0.000 -1.758 9.774
K Al Rh
1 2 1
direct
0.000 0.000 0.000
0.230 0.230 0.230
0.484 0.484 0.484
0.758 0.758 0.758
```

=====

# 5
Below is SrPmY4Se8 after structural relaxation, with properties calculated at the PBE level.

Computed properties:
Space-group type: R3m, No. 160
DFT total energy (eV/cell): -85.45

POSCAR file:
```
SrPmY4Se8
1.0
4.274 2.468 7.046
-4.274 2.468 7.046
0.000 -4.935 7.046
Sr Pm Y Se
1 1 4 8
direct
0.000 0.000 0.000
0.628 0.628 0.628
0.121 0.628 0.628
0.252 0.252 0.252
0.628 0.121 0.628
0.628 0.628 0.121
0.380 0.380 0.856
0.380 0.856 0.380
0.384 0.384 0.384
0.415 0.867 0.867
0.856 0.380 0.380
0.862 0.862 0.862
0.867 0.415 0.867
0.867 0.867 0.415
```

=====

# 6
Below is AgBPdF6 after structural relaxation, with properties calculated at the PBE level.

Computed properties:
Space-group type: P1, No. 1
DFT total energy (eV/cell): -42.49

POSCAR file:
```
AgBPdF6
1.0
4.631 0.000 0.000
2.092 4.465 0.000
0.185 0.833 6.712
Ag B Pd F
1 1 1 6
direct
0.000 0.000 0.000
0.582 0.598 0.640
0.509 0.167 0.331
0.278 0.813 0.669
0.290 0.581 0.208
0.474 0.042 0.069
0.570 0.318 0.599
0.718 0.705 0.469
0.787 0.522 0.805
```

=====

# 7
Below is Li2SmCd after structural relaxation, with properties calculated at the PBE level.

Computed properties:
Energy above the most stable polymorph in this dataset (eV per formula unit): 0.00
Space-group type: Fm-3m, No. 225
Calculated formation energy (eV per atom): -0.0914
DFT total energy (eV/cell): -9.83

POSCAR file:
```
Li2SmCd
1.0
0.000 3.502 3.502
3.502 0.000 3.502
3.502 3.502 0.000
Li Sm Cd
2 1 1
direct
0.250 0.250 0.250
0.750 0.750 0.750
0.000 0.000 0.000
0.500 0.500 0.500
```

=====

# 8
Below is AlAg2Se after structural relaxation, with properties calculated at the PBE level.

Computed properties:
Energy above the most stable polymorph in this dataset (eV per formula unit): 0.65
Space-group type: I-4m2, No. 119
DFT total energy (eV/cell): -12.54

POSCAR file:
```
AlAg2Se
1.0
-2.051 2.051 4.490
2.051 -2.051 4.490
2.051 2.051 -4.490
Al Ag Se
1 2 1
direct
0.000 0.000 0.000
0.500 0.500 0.000
0.750 0.250 0.500
0.250 0.750 0.500
```

=====

# 9
Below is LiGa6Au12 after structural relaxation, with properties calculated at the PBE level.

Computed properties:
Energy above the most stable polymorph in this dataset (eV per formula unit): 0.35
Space-group type: R-3, No. 148
Calculated formation energy (eV per atom): -0.1748
DFT total energy (eV/cell): -62.72

POSCAR file:
```
LiGa6Au12
1.0
6.125 3.536 2.722
-6.125 3.536 2.722
0.000 -7.073 2.722
Li Ga Au
1 6 12
direct
0.000 0.000 0.000
0.099 0.490 0.209
0.209 0.099 0.490
0.490 0.209 0.099
0.510 0.791 0.901
0.791 0.901 0.510
0.901 0.510 0.791
0.083 0.260 0.816
0.180 0.457 0.556
0.184 0.917 0.740
0.260 0.816 0.083
0.444 0.820 0.543
0.457 0.556 0.180
0.543 0.444 0.820
0.556 0.180 0.457
0.740 0.184 0.917
0.816 0.083 0.260
0.820 0.543 0.444
0.917 0.740 0.184
```

=====

# 10
Below is BSbC2 after structural relaxation, with properties calculated at the PBE level.

Computed properties:
Energy above the most stable polymorph in this dataset (eV per formula unit): 0.00
Space-group type: I-42d, No. 122
DFT total energy (eV/cell): -52.61

POSCAR file:
```
BSbC2
1.0
-2.231 2.231 4.366
2.231 -2.231 4.366
2.231 2.231 -4.366
B Sb C
2 2 4
direct
0.000 0.000 0.000
0.750 0.250 0.500
0.250 0.750 0.500
0.500 0.500 0.000
0.042 0.625 0.917
0.375 0.292 0.417
0.708 0.125 0.083
0.875 0.958 0.583
```

=====

# 11
Below is AcRe2SnO8 after structural relaxation, with properties calculated at the PBE level.

Computed properties:
Space-group type: R-3, No. 148
DFT total energy (eV/cell): -92.48

POSCAR file:
```
AcRe2SnO8
1.0
3.019 1.743 6.066
-3.019 1.743 6.066
0.000 -3.486 6.066
Ac Re Sn O
1 2 1 8
direct
0.000 0.000 0.000
0.241 0.241 0.241
0.759 0.759 0.759
0.500 0.500 0.500
0.054 0.680 0.471
0.142 0.142 0.142
0.320 0.529 0.946
0.471 0.054 0.680
0.529 0.946 0.320
0.680 0.471 0.054
0.858 0.858 0.858
0.946 0.320 0.529
```

=====

# 12
Below is Li2CeAs2 after structural relaxation, with properties calculated at the PBE level.

Computed properties:
Energy above the most stable polymorph in this dataset (eV per formula unit): 1.00
Space-group type: C2/c, No. 15
Calculated formation energy (eV per atom): -0.7878
DFT total energy (eV/cell): -46.00

POSCAR file:
```
Li2CeAs2
1.0
4.270 -5.245 0.000
4.270 5.245 0.000
-4.250 0.000 4.748
Li Ce As
4 2 4
direct
0.002 0.252 0.002
0.252 0.002 0.502
0.748 0.998 0.498
0.998 0.748 0.998
0.375 0.625 0.750
0.625 0.375 0.250
0.106 0.894 0.750
0.356 0.644 0.250
0.644 0.356 0.750
0.894 0.106 0.250
```

=====

Record order is preserved below.
V: 21.15, 14.17, 30.41, 19.61, 31.85, 15.42, 21.48, 18.90, 18.62, 10.87, 15.96, 21.27 A^3/atom